Ni2RhW: optimized geometry, GGA-PBEsol.

The crystal system is tetragonal. The value obtained for the formation energy is -0.12 eV per atom. The value obtained for the energy relative to the lowest polymorph listed for this composition is 21 kJ/mol of formula units.

Geometry as CIF:
```
data_Ni2RhW
_cell_length_a 3.6511
_cell_length_b 3.6511
_cell_length_c 7.4290
_cell_angle_alpha 90.00
_cell_angle_beta 90.00
_cell_angle_gamma 90.00
_space_group_name_H-M_alt 'I 4/m m m'
_space_group_IT_number 139
_space_group_name_Hall '-I 4 2'
loop_
_atom_site_label
_atom_site_type_symbol
_atom_site_fract_x
_atom_site_fract_y
_atom_site_fract_z
Ni1 Ni 0.0000 0.5000 0.2500
Rh1 Rh 0.0000 0.0000 0.0000
W1 W 0.0000 0.0000 0.5000
```

=====

CdMo2As: optimized geometry, GGA-PBEsol.

The crystal system is tetragonal. The value obtained for the formation energy is 0.47 eV per atom. The value obtained for the energy relative to the lowest polymorph listed for this composition is 125 kJ/mol of formula units.

Geometry as CIF:
```
data_CdMo2As
_cell_length_a 4.5255
_cell_length_b 4.5255
_cell_length_c 3.0836
_cell_angle_alpha 90.00
_cell_angle_beta 90.00
_cell_angle_gamma 90.00
_space_group_name_H-M_alt 'P 4/m m m'
_space_group_IT_number 123
_space_group_name_Hall '-P 4 2'
loop_
_atom_site_label
_atom_site_type_symbol
_atom_site_fract_x
_atom_site_fract_y
_atom_site_fract_z
Cd1 Cd 0.0000 0.0000 0.0000
Mo1 Mo 0.0000 0.5000 0.5000
As1 As 0.5000 0.5000 0.0000
```

=====

Question: The highest energy relative to the lowest polymorph listed for this composition belongs to which entry?
Answer: CdMo2As

=====

Question: What is the formula in the second record?
Answer: CdMo2As

=====

Question: The lowest energy relative to the lowest polymorph listed for this composition belongs to which entry?
Answer: Ni2RhW

=====

Question: The highest energy relative to the lowest polymorph listed for this composition belongs to which entry?
Answer: CdMo2As